1.
A relaxed Nd6AuSe5 crystal, computed with GGA-PBE.

Cell lengths 7.3603, 7.3603, 7.3586 Å; angles 99.59, 99.59, 120.01 degrees
Sites, in units of the cell vectors:
Nd 0.0818 0.4176 0.7499
Nd 0.2488 0.2488 0.2505
Nd 0.4176 0.0818 0.7499
Nd 0.5824 0.9182 0.2501
Nd 0.7512 0.7512 0.7495
Nd 0.9182 0.5824 0.2501
Au 0.5000 0.5000 0.0000
Se 0.0000 0.0000 0.5000
Se 0.1658 0.8342 0.0000
Se 0.3325 0.6675 0.5000
Se 0.6675 0.3325 0.5000
Se 0.8342 0.1658 0.0000

formation energy (no corrections)	-1.683	eV/atom


2.
A relaxed Nd3AuSe2 crystal, computed with GGA-PBE.

Cell lengths 6.0352, 12.7308, 8.6187 Å; angles 90.00, 90.02, 90.00 degrees
Sites, in units of the cell vectors:
Nd 0.2494 0.0823 0.1284
Nd 0.2494 0.4177 0.6284
Nd 0.2498 0.0882 0.6189
Nd 0.2498 0.4118 0.1189
Nd 0.2508 0.7488 0.1319
Nd 0.2508 0.7512 0.6319
Nd 0.7492 0.2488 0.3681
Nd 0.7492 0.2512 0.8681
Nd 0.7502 0.5882 0.8811
Nd 0.7502 0.9118 0.3811
Nd 0.7506 0.5823 0.3716
Nd 0.7506 0.9177 0.8716
Au 0.2506 0.5814 0.3787
Au 0.2506 0.9186 0.8787
Au 0.7494 0.0814 0.1213
Au 0.7494 0.4186 0.6213
Se 0.2492 0.2486 0.8743
Se 0.2492 0.2514 0.3743
Se 0.2502 0.5841 0.8797
Se 0.2502 0.9159 0.3797
Se 0.7498 0.0841 0.6203
Se 0.7498 0.4159 0.1203
Se 0.7508 0.7486 0.6257
Se 0.7508 0.7514 0.1257

formation energy (no corrections)	-1.470	eV/atom


3.
A relaxed NdAuSe2 crystal, computed with GGA-PBE.

Cell lengths 6.4195, 7.4709, 8.2004 Å; angles 90.00, 90.00, 90.00 degrees
Sites, in units of the cell vectors:
Nd 0.1712 0.0363 0.2500
Nd 0.1712 0.4637 0.7500
Nd 0.8288 0.5363 0.2500
Nd 0.8288 0.9637 0.7500
Au 0.4973 0.7500 0.0000
Au 0.4973 0.7500 0.5000
Au 0.5027 0.2500 0.0000
Au 0.5027 0.2500 0.5000
Se 0.0734 0.7500 0.0000
Se 0.0734 0.7500 0.5000
Se 0.3725 0.0853 0.7500
Se 0.3725 0.4147 0.2500
Se 0.6275 0.5853 0.7500
Se 0.6275 0.9147 0.2500
Se 0.9266 0.2500 0.0000
Se 0.9266 0.2500 0.5000

formation energy (no corrections)	-1.186	eV/atom
ΔE to the lowest computed polymorph	0.0	meV/atom


4.
A relaxed Nd2AuSe crystal, computed with GGA-PBE.

Cell lengths 7.7534, 7.7534, 7.7534 Å; angles 31.36, 31.36, 31.36 degrees
Sites, in units of the cell vectors:
Nd 0.2485 0.2485 0.2485
Nd 0.7515 0.7515 0.7515
Au 0.0000 0.0000 0.0000
Se 0.5000 0.5000 0.5000

formation energy (no corrections)	-1.254	eV/atom
ΔE to the lowest computed polymorph	53.7	meV/atom


5.
A relaxed NdAuSe2 crystal, computed with GGA-PBE.

Cell lengths 8.2138, 8.2138, 8.2138 Å; angles 31.75, 31.75, 31.75 degrees
Sites, in units of the cell vectors:
Nd 0.0000 0.0000 0.0000
Au 0.5000 0.5000 0.5000
Se 0.3962 0.3962 0.3962
Se 0.6038 0.6038 0.6038

formation energy (no corrections)	-1.116	eV/atom
ΔE to the lowest computed polymorph	70.2	meV/atom


6.
A relaxed Nd2AuSe crystal, computed with GGA-PBE.

Cell lengths 8.0809, 8.0809, 8.0809 Å; angles 29.54, 29.54, 29.54 degrees
Sites, in units of the cell vectors:
Nd 0.0000 0.0000 0.0000
Nd 0.1708 0.1708 0.1708
Au 0.5865 0.5865 0.5865
Se 0.4174 0.4174 0.4174

formation energy (no corrections)	-1.183	eV/atom
ΔE to the lowest computed polymorph	124.5	meV/atom


Calculated DFT total energy, -5.792; -5.561; -4.939; -5.328; -4.869; -5.258 eV per atom (same order as the records).